Record 1
VASP calculation (GGA-PBE) on crystalline LiRuSe2 at its relaxed geometry.

Crystal system: trigonal
Formation energy without anion corrections in kJ per mole of atoms: -33.0

Cell and atoms, written as POSCAR:
```
LiRuSe2
1.0
3.781 0.000 0.000
-1.891 3.275 0.000
0.000 0.000 22.164
Li Ru Se
3 3 6
direct
0.000 0.000 0.000
0.333 0.667 0.667
0.667 0.333 0.333
0.000 0.000 0.500
0.333 0.667 0.167
0.667 0.333 0.833
0.000 0.000 0.109
0.000 0.000 0.891
0.333 0.667 0.558
0.333 0.667 0.776
0.667 0.333 0.224
0.667 0.333 0.442
```


Record 2
VASP calculation (GGA-PBE) on crystalline LiRuSe2 at its relaxed geometry.

Crystal system: monoclinic
Formation energy without anion corrections in kJ per mole of atoms: -25.1

Cell and atoms, written as POSCAR:
```
LiRuSe2
1.0
3.131 0.000 0.000
0.000 5.271 0.000
-0.645 0.000 4.245
Li Ru Se
1 1 2
direct
0.000 0.000 0.000
0.486 0.500 0.569
0.455 0.000 0.523
0.894 0.500 0.132
```


Record 3
VASP calculation (GGA-PBE) on crystalline LiRuSe2 at its relaxed geometry.

Crystal system: cubic
Formation energy without anion corrections in kJ per mole of atoms: 38.8

Cell and atoms, written as POSCAR:
```
LiRuSe2
1.0
6.409 0.000 0.000
0.000 6.409 0.000
0.000 0.000 6.409
Li Ru Se
4 4 8
direct
0.000 0.000 0.000
0.000 0.500 0.500
0.500 0.000 0.500
0.500 0.500 0.000
0.250 0.250 0.750
0.250 0.750 0.250
0.750 0.250 0.250
0.750 0.750 0.750
0.000 0.000 0.500
0.000 0.500 0.000
0.250 0.250 0.250
0.250 0.750 0.750
0.500 0.000 0.000
0.500 0.500 0.500
0.750 0.250 0.750
0.750 0.750 0.250
```


Record 4
VASP calculation (GGA-PBE) on crystalline LiRu2Se at its relaxed geometry.

Crystal system: cubic
Formation energy without anion corrections in kJ per mole of atoms: 17.5

Cell and atoms, written as POSCAR:
```
LiRu2Se
1.0
6.113 0.000 0.000
0.000 6.113 0.000
0.000 0.000 6.113
Li Ru Se
4 8 4
direct
0.000 0.000 0.000
0.000 0.500 0.500
0.500 0.000 0.500
0.500 0.500 0.000
0.000 0.000 0.500
0.000 0.500 0.000
0.250 0.250 0.750
0.250 0.750 0.250
0.500 0.000 0.000
0.500 0.500 0.500
0.750 0.250 0.250
0.750 0.750 0.750
0.250 0.250 0.250
0.250 0.750 0.750
0.750 0.250 0.750
0.750 0.750 0.250
```


Record 5
VASP calculation (GGA-PBE) on crystalline LiRu2Se at its relaxed geometry.

Crystal system: tetragonal
Formation energy without anion corrections in kJ per mole of atoms: 10.6

Cell and atoms, written as POSCAR:
```
LiRu2Se
1.0
2.900 0.000 0.000
0.000 2.900 0.000
0.000 0.000 7.270
Li Ru Se
1 2 1
direct
0.000 0.000 0.000
0.000 0.000 0.492
0.500 0.500 0.269
0.500 0.500 0.731
```


Record 6
VASP calculation (GGA-PBE) on crystalline LiRuSe2 at its relaxed geometry.

Crystal system: trigonal
Formation energy without anion corrections in kJ per mole of atoms: -2.7

Cell and atoms, written as POSCAR:
```
LiRuSe2
1.0
3.054 0.000 0.000
-1.527 2.645 0.000
0.000 0.000 29.573
Li Ru Se
3 3 6
direct
0.000 0.000 0.000
0.333 0.667 0.667
0.667 0.333 0.333
0.000 0.000 0.747
0.333 0.667 0.414
0.667 0.333 0.080
0.000 0.000 0.265
0.000 0.000 0.469
0.333 0.667 0.135
0.333 0.667 0.931
0.667 0.333 0.598
0.667 0.333 0.802
```


Record 7
VASP calculation (GGA-PBE) on crystalline LiRu2Se at its relaxed geometry.

Crystal system: monoclinic
Formation energy without anion corrections in kJ per mole of atoms: 25.6

Cell and atoms, written as POSCAR:
```
LiRu2Se
1.0
5.468 0.000 0.000
0.000 8.800 0.000
-1.398 0.000 2.400
Li Ru Se
2 4 2
direct
0.000 0.000 0.000
0.500 0.500 0.000
0.250 0.250 0.500
0.250 0.750 0.500
0.750 0.250 0.500
0.750 0.750 0.500
0.000 0.500 0.000
0.500 0.000 0.000
```


Record 8
VASP calculation (GGA-PBE) on crystalline LiRu2Se at its relaxed geometry.

Crystal system: orthorhombic
Formation energy without anion corrections in kJ per mole of atoms: 26.1

Cell and atoms, written as POSCAR:
```
LiRu2Se
1.0
3.073 0.000 0.000
0.000 4.320 0.000
0.000 0.000 4.369
Li Ru Se
1 2 1
direct
0.000 0.000 0.000
0.000 0.500 0.500
0.500 0.500 0.000
0.500 0.000 0.500
```


Q: formation energy without anion corrections of number 7 (LiRu2Se)?
A: 25.6 kJ per mole of atoms


Q: Which of these has the lowest formation energy without anion corrections?
A: number 1